Tb2PrDySc: relaxed, PBE.

Lattice parameters (Å, degrees): 8.2293 11.3320 7.1166 90.00 90.00 90.00
Space group Cmcm (No. 63)
Symmetry-distinct sites (fractional):
Tb1 0.1977 0.0000 0.0000 x8
Pr1 0.0000 0.2297 0.2500 x4
Dy1 0.0000 0.2358 0.7500 x4
Sc1 0.0000 0.4937 0.2500 x4

The value obtained for the total magnetic moment is 0.000 μB per atom. The calculated formation energy is 0.330 eV per atom. As for the crystal system: orthorhombic. The calculation puts the density of states at the Fermi level at 6.26 states/eV/f.u.



SeN2F2: relaxed, PBE.

Lattice parameters (Å, degrees): 4.0009 4.0009 4.0334 90.00 90.00 90.00
Space group P4/mmm (No. 123)
Symmetry-distinct sites (fractional):
Se1 0.0000 0.0000 0.0000 x1
N1 0.0000 0.5000 0.0000 x2
F1 0.0000 0.0000 0.5000 x1
F2 0.5000 0.5000 0.5000 x1

The energy above the lowest structure with this stoichiometry is 68 meV per atom. For the uncorrected formation energy, the calculation gives 1.152 eV/atom. The value obtained for the total magnetic moment is 0.695 μB per atom. As for the crystal system: tetragonal. The calculation puts the density of states at the Fermi level at 1.55 states/eV/f.u.



SrSnRh3: relaxed, PBE.

Lattice parameters (Å, degrees): 5.6093 7.6069 9.3465 90.00 90.00 90.00
Space group Imma (No. 74)
Symmetry-distinct sites (fractional):
Sr1 0.0000 0.2500 0.0043 x4
Sn1 0.0000 0.0000 0.5000 x4
Rh1 0.0000 0.2500 0.6986 x4
Rh2 0.2500 0.0483 0.2500 x8

The energy above the lowest structure with this stoichiometry is 0 meV per atom. The value obtained for the total magnetic moment is 0.000 μB per atom. The calculated formation energy is -0.260 eV per atom. As for the crystal system: orthorhombic. The calculation puts the density of states at the Fermi level at 5.49 states/eV/f.u.



Tb4CuHg: relaxed, PBE.

Lattice parameters (Å, degrees): 3.5533 3.5533 12.6758 90.00 90.00 90.00
Space group P4/mmm (No. 123)
Symmetry-distinct sites (fractional):
Tb1 0.0000 0.0000 0.1348 x2
Tb2 0.5000 0.5000 0.3385 x2
Cu1 0.5000 0.5000 0.0000 x1
Hg1 0.0000 0.0000 0.5000 x1

The energy above the lowest structure with this stoichiometry is 0 meV per atom. The value obtained for the total magnetic moment is 0.270 μB per atom. The calculated formation energy is -0.206 eV per atom. As for the crystal system: tetragonal. The calculation puts the density of states at the Fermi level at 7.56 states/eV/f.u.



Pm4DyHo2Er2: relaxed, PBE.

Lattice parameters (Å, degrees): 15.1938 5.0520 8.0002 90.00 108.41 90.00
Space group C2/m (No. 12)
Symmetry-distinct sites (fractional):
Pm1 0.0542 0.0000 0.3310 x4
Pm2 0.2228 0.5000 0.3321 x4
Dy1 0.0000 0.5000 0.0000 x2
Ho1 0.1114 0.5000 0.6690 x4
Er1 0.1673 0.0000 0.9998 x4

The value obtained for the total magnetic moment is 0.000 μB per atom. The calculated formation energy is 0.020 eV per atom. As for the crystal system: monoclinic. The calculation puts the density of states at the Fermi level at 12.98 states/eV/f.u.



K12Tl2Hg5: relaxed, PBE.

Lattice parameters (Å, degrees): 14.8640 12.1469 9.9365 90.00 105.03 90.00
Space group C2/m (No. 12)
Symmetry-distinct sites (fractional):
K1 0.0946 0.0000 0.1844 x4
K2 0.1108 0.2811 0.3973 x8
K3 0.1124 0.5000 0.7875 x4
K4 0.1772 0.1657 0.8232 x8
Tl1 0.0000 0.3003 0.0000 x4
Hg1 0.0000 0.0000 0.5000 x2
Hg2 0.1201 0.5000 0.1574 x4
Hg3 0.2194 0.0000 0.5425 x4

The value obtained for the total magnetic moment is 0.000 μB per atom. The calculated formation energy is -0.134 eV per atom. As for the crystal system: monoclinic. The calculation puts the density of states at the Fermi level at 10.64 states/eV/f.u.



Sn3AsO: relaxed, PBE.

Lattice parameters (Å, degrees): 4.8804 4.8804 4.8804 90.00 90.00 90.00
Space group Pm-3m (No. 221)
Symmetry-distinct sites (fractional):
Sn1 0.0000 0.0000 0.5000 x3
As1 0.5000 0.5000 0.5000 x1
O1 0.0000 0.0000 0.0000 x1

The energy above the lowest structure with this stoichiometry is 0 meV per atom. For the uncorrected formation energy, the calculation gives -0.175 eV/atom. The value obtained for the total magnetic moment is 0.000 μB per atom. As for the crystal system: cubic. The calculation puts the density of states at the Fermi level at 1.65 states/eV/f.u.



Na2TaCoN: relaxed, PBE.

Lattice parameters (Å, degrees): 6.1459 6.1459 3.9038 90.00 90.00 90.00
Space group P4/mmm (No. 123)
Symmetry-distinct sites (fractional):
Na1 0.0000 0.5000 0.0000 x2
Ta1 0.0000 0.0000 0.0000 x1
Co1 0.5000 0.5000 0.5000 x1
N1 0.0000 0.0000 0.5000 x1

For the uncorrected formation energy, the calculation gives 1.197 eV/atom. The value obtained for the total magnetic moment is 0.663 μB per atom. As for the crystal system: tetragonal. The calculation puts the density of states at the Fermi level at 3.79 states/eV/f.u.